(1)
Material: Nd6Er2Sc
Method: DFT, GGA-PBE
State: relaxed

a b c (Å): 6.208 10.041 10.041
angles (deg): 71.88 84.88 84.88
Element x y z (fractional)
Er (0.076, 0.228, 0.432)
Er (0.424, 0.568, 0.772)
Er (0.576, 0.432, 0.228)
Er (0.924, 0.772, 0.568)
Nd (0.149, 0.352, 0.070)
Nd (0.351, 0.930, 0.648)
Nd (0.851, 0.648, 0.930)
Nd (0.512, 0.309, 0.592)
Nd (0.988, 0.408, 0.691)
Nd (0.176, 0.976, 0.248)
Nd (0.012, 0.592, 0.309)
Nd (0.676, 0.248, 0.976)
Nd (0.824, 0.024, 0.752)
Nd (0.488, 0.691, 0.408)
Nd (0.649, 0.070, 0.352)
Nd (0.324, 0.752, 0.024)
Sc (0.750, 0.894, 0.106)
Sc (0.250, 0.106, 0.894)

Properties
Energy relative to the lowest polymorph listed for this composition ... 0.53 eV per formula unit
D(E_F) ... 12.92 states/eV/f.u.
Energy ... -4.804 eV per atom
ΔH_f (0 K) ... 0.82 eV per formula unit



(2)
Material: Nd10Er4Sc
Method: DFT, GGA-PBE
State: relaxed

a b c (Å): 10.499 8.723 8.723
angles (deg): 68.77 53.00 53.00
Element x y z (fractional)
Nd (0.226, 0.326, 0.902)
Nd (0.448, 0.098, 0.326)
Nd (0.872, 0.902, 0.674)
Nd (0.552, 0.902, 0.674)
Nd (0.250, 0.500, 0.500)
Nd (0.774, 0.674, 0.098)
Nd (0.750, 0.500, 0.500)
Nd (0.454, 0.674, 0.098)
Nd (0.546, 0.326, 0.902)
Nd (0.128, 0.098, 0.326)
Er (0.942, 0.382, 0.734)
Er (0.058, 0.618, 0.266)
Er (0.676, 0.266, 0.382)
Er (0.324, 0.734, 0.618)
Sc (0.000, 0.000, 0.000)

Properties
D(E_F) ... 19.89 states/eV/f.u.
Energy ... -4.482 eV per atom
ΔH_f (0 K) ... 5.03 eV per formula unit